1.
Ba4MoW after structural relaxation. Source: Alexandria, functional PBE.

Values from the calculation:
- DOS at the Fermi energy (states/eV/cell) = 8.91
- E_form (eV per formula unit) = 11.3
- total DFT energy (no corrections) (eV for the cell shown) = -20.184
- SG = F-43m (216)

Cell: 7.0299 7.0299 7.0299 Å, 60.00 60.00 60.00°
Element x y z (fractional)
Ba 0.1253 0.1253 0.1253
Ba 0.1253 0.1253 0.6240
Ba 0.1253 0.6240 0.1253
Ba 0.6240 0.1253 0.1253
Mo 0.7500 0.7500 0.7500
W 0.5000 0.5000 0.5000

2.
Ti2Nb2In after structural relaxation. Source: Alexandria, functional PBE.

Values from the calculation:
- DOS at the Fermi energy (states/eV/cell) = 10.72
- E_form (eV per formula unit) = 0.7
- E above lowest polymorph (eV/atom) = 0.193
- total DFT energy (no corrections) (eV for the cell shown) = -75.867
- SG = P4/mbm (127)

Cell: 7.3642 7.3642 3.5474 Å, 90.00 90.00 90.00°
Element x y z (fractional)
Ti 0.1689 0.3311 0.0000
Ti 0.3311 0.8311 0.0000
Ti 0.6689 0.1689 0.0000
Ti 0.8311 0.6689 0.0000
Nb 0.1276 0.6276 0.5000
Nb 0.3724 0.1276 0.5000
Nb 0.6276 0.8724 0.5000
Nb 0.8724 0.3724 0.5000
In 0.0000 0.0000 0.5000
In 0.5000 0.5000 0.5000

3.
Nb2CuAg after structural relaxation. Source: Alexandria, functional PBE.

Values from the calculation:
- DOS at the Fermi energy (states/eV/cell) = 15.56
- E_form (eV per formula unit) = 2.4
- total DFT energy (no corrections) (eV for the cell shown) = -98.818
- SG = I-42d (122)

Cell: 7.4182 7.4182 5.1709 Å, 90.00 90.00 90.00°
Element x y z (fractional)
Nb 0.2239 0.2500 0.1250
Nb 0.2500 0.7239 0.3750
Nb 0.2500 0.7761 0.8750
Nb 0.2761 0.2500 0.6250
Nb 0.7239 0.7500 0.6250
Nb 0.7500 0.2239 0.8750
Nb 0.7500 0.2761 0.3750
Nb 0.7761 0.7500 0.1250
Cu 0.0000 0.0000 0.0000
Cu 0.0000 0.5000 0.2500
Cu 0.5000 0.0000 0.7500
Cu 0.5000 0.5000 0.5000
Ag 0.0000 0.0000 0.5000
Ag 0.0000 0.5000 0.7500
Ag 0.5000 0.0000 0.2500
Ag 0.5000 0.5000 0.0000

4.
Pm8CdCu2 after structural relaxation. Source: Alexandria, functional PBE.

Values from the calculation:
- DOS at the Fermi energy (states/eV/cell) = 10.38
- E_form (eV per formula unit) = -0.8
- total DFT energy (no corrections) (eV for the cell shown) = -47.959
- SG = C2/m (12)

Cell: 8.6090 8.6090 8.2968 Å, 116.44 116.44 35.88°
Element x y z (fractional)
Pm 0.0644 0.0644 0.2302
Pm 0.1551 0.1551 0.7270
Pm 0.3122 0.3122 0.5239
Pm 0.3929 0.3929 0.0326
Pm 0.6071 0.6071 0.9674
Pm 0.6878 0.6878 0.4761
Pm 0.8449 0.8449 0.2730
Pm 0.9356 0.9356 0.7698
Cd 0.5000 0.5000 0.5000
Cu 0.2141 0.2141 0.1227
Cu 0.7859 0.7859 0.8773